Entry 1:
{
  "formula": "Sc4HgPd5",
  "functional": "PBE-GGA",
  "state": "relaxed",
  "ef_ev_per_atom": -0.79,
  "final_energy_ev_per_cell": -59.49,
  "cell": [[3.3055, 0.0000, 0.0000], [0.0000, 3.3055, 0.0000], [0.0000, 0.0000, 16.6270]],
  "species": ["Sc", "Sc", "Sc", "Sc", "Hg", "Pd", "Pd", "Pd", "Pd", "Pd"],
  "fractional_positions": [[0.0000, 0.0000, 0.1013], [0.0000, 0.0000, 0.3043], [0.0000, 0.0000, 0.6957], [0.0000, 0.0000, 0.8987], [0.0000, 0.0000, 0.5000], [0.5000, 0.5000, 0.0000], [0.5000, 0.5000, 0.2019], [0.5000, 0.5000, 0.3925], [0.5000, 0.5000, 0.6075], [0.5000, 0.5000, 0.7981]]
}

=====

Entry 2:
{
  "formula": "Na10B13C7",
  "functional": "PBE-GGA",
  "state": "relaxed",
  "e_above_lowest_polymorph_mev_per_atom": 9.2,
  "ef_ev_per_atom": 0.09,
  "final_energy_ev_per_cell": -161.73,
  "cell": [[8.8857, -1.4200, 0.0000], [8.8857, 1.4200, 0.0000], [-5.3063, 0.0000, 12.1174]],
  "species": ["Na", "Na", "Na", "Na", "Na", "Na", "Na", "Na", "Na", "Na", "B", "B", "B", "B", "B", "B", "B", "B", "B", "B", "B", "B", "B", "C", "C", "C", "C", "C", "C", "C"],
  "fractional_positions": [[0.0000, 0.0000, 0.0000], [0.9995, 0.9995, 0.4981], [0.1993, 0.1993, 0.9006], [0.2000, 0.2000, 0.3991], [0.3985, 0.3985, 0.3000], [0.3993, 0.3993, 0.8007], [0.5991, 0.5991, 0.1992], [0.6011, 0.6011, 0.6981], [0.7979, 0.7979, 0.6000], [0.7994, 0.7994, 0.1007], [0.0264, 0.0264, 0.8030], [0.1604, 0.1604, 0.5707], [0.2295, 0.2295, 0.2105], [0.2326, 0.2326, 0.7145], [0.3684, 0.3684, 0.9887], [0.4333, 0.4333, 0.6158], [0.5624, 0.5624, 0.3759], [0.5660, 0.5660, 0.8838], [0.6349, 0.6349, 0.0213], [0.7684, 0.7684, 0.2882], [0.7726, 0.7726, 0.7957], [0.8382, 0.8382, 0.4272], [0.9654, 0.9654, 0.1821], [0.0305, 0.0305, 0.3129], [0.1661, 0.1661, 0.0838], [0.3687, 0.3687, 0.4877], [0.4338, 0.4338, 0.1184], [0.6285, 0.6285, 0.5075], [0.8359, 0.8359, 0.9242], [0.9646, 0.9646, 0.6776]]
}

=====

Entry 3:
{
  "formula": "La2HoZn",
  "functional": "PBE-GGA",
  "state": "relaxed",
  "e_above_lowest_polymorph_mev_per_atom": 158.7,
  "ef_ev_per_atom": 0.00,
  "final_energy_ev_per_cell": -15.70,
  "cell": [[0.0000, 3.9082, 3.9082], [3.9082, 0.0000, 3.9082], [3.9082, 3.9082, 0.0000]],
  "species": ["La", "La", "Ho", "Zn"],
  "fractional_positions": [[0.2500, 0.2500, 0.2500], [0.7500, 0.7500, 0.7500], [0.0000, 0.0000, 0.0000], [0.5000, 0.5000, 0.5000]]
}